(1)
Here is an optimized crystal structure of Be2Pt2S from the Alexandria database. Energies are from GGA-PBE.

a = 6.954 Å, b = 6.954 Å, c = 2.702 Å
α = 90.00°, β = 90.00°, γ = 90.00°
Sites, in units of the cell vectors:
Be (0.354, 0.854, 0.000)
Be (0.854, 0.646, 0.000)
Be (0.646, 0.146, 0.000)
Be (0.146, 0.354, 0.000)
S (0.000, 0.000, 0.000)
S (0.500, 0.500, 0.000)
Pt (0.144, 0.644, 0.500)
Pt (0.644, 0.856, 0.500)
Pt (0.856, 0.356, 0.500)
Pt (0.356, 0.144, 0.500)

Results
V: 130.69 Å³ per cell
electronic total energy: -4.897 eV/atom
space group: P4/mbm, No. 127

(2)
Here is an optimized crystal structure of BePtS from the Alexandria database. Energies are from GGA-PBE.

a = 3.390 Å, b = 6.961 Å, c = 3.884 Å
α = 90.00°, β = 90.00°, γ = 75.96°
Sites, in units of the cell vectors:
Be (0.435, 0.517, 0.825)
Be (0.776, 0.836, 0.326)
S (0.282, 0.824, 0.004)
S (0.928, 0.529, 0.504)
Pt (0.039, 0.308, 0.035)
Pt (0.171, 0.045, 0.535)

Results
V: 88.90 Å³ per cell
electronic total energy: -5.075 eV/atom
space group: P2_1, No. 4

(3)
Here is an optimized crystal structure of BePtS from the Alexandria database. Energies are from GGA-PBE.

a = 3.398 Å, b = 3.398 Å, c = 9.536 Å
α = 90.00°, β = 90.00°, γ = 120.00°
Sites, in units of the cell vectors:
Be (0.333, 0.667, 0.250)
Be (0.667, 0.333, 0.750)
S (0.000, 0.000, 0.250)
S (0.000, 0.000, 0.750)
Pt (0.000, 0.000, 0.000)
Pt (0.000, 0.000, 0.500)

Results
V: 95.36 Å³ per cell
electronic total energy: -4.767 eV/atom
space group: P6_3/mmc, No. 194

(4)
Here is an optimized crystal structure of BePtS from the Alexandria database. Energies are from GGA-PBE.

a = 3.404 Å, b = 7.719 Å, c = 3.475 Å
α = 90.00°, β = 90.00°, γ = 96.21°
Sites, in units of the cell vectors:
Be (0.997, 0.602, 0.611)
Be (0.569, 0.927, 0.111)
S (0.044, 0.760, 0.111)
S (0.460, 0.446, 0.611)
Pt (0.537, 0.252, 0.111)
Pt (0.906, 0.072, 0.611)

Results
V: 90.77 Å³ per cell
electronic total energy: -5.098 eV/atom
space group: Pm, No. 6

(5)
Here is an optimized crystal structure of BePtS from the Alexandria database. Energies are from GGA-PBE.

a = 4.675 Å, b = 4.430 Å, c = 4.430 Å
α = 97.64°, β = 84.04°, γ = 84.04°
Sites, in units of the cell vectors:
Be (0.830, 0.643, 0.839)
Be (0.312, 0.745, 0.941)
S (0.915, 0.979, 0.176)
S (0.227, 0.408, 0.605)
Pt (0.571, 0.194, 0.891)
Pt (0.571, 0.693, 0.390)

Results
V: 89.79 Å³ per cell
electronic total energy: -5.031 eV/atom
space group: C2/m, No. 12

(6)
Here is an optimized crystal structure of BePtS from the Alexandria database. Energies are from GGA-PBE.

a = 3.418 Å, b = 8.241 Å, c = 3.305 Å
α = 101.56°, β = 90.00°, γ = 90.00°
Sites, in units of the cell vectors:
Be (0.345, 0.590, 0.828)
Be (0.345, 0.132, 0.599)
S (0.845, 0.742, 0.904)
S (0.345, 0.440, 0.254)
Pt (0.845, 0.214, 0.140)
Pt (0.845, 0.941, 0.503)

Results
V: 91.21 Å³ per cell
electronic total energy: -5.113 eV/atom
space group: Amm2, No. 38

(7)
Here is an optimized crystal structure of BePtS3 from the Alexandria database. Energies are from GGA-PBE.

a = 4.228 Å, b = 4.228 Å, c = 4.228 Å
α = 90.00°, β = 90.00°, γ = 90.00°
Sites, in units of the cell vectors:
Be (0.000, 0.000, 0.000)
S (0.000, 0.500, 0.000)
S (0.000, 0.000, 0.500)
S (0.500, 0.000, 0.000)
Pt (0.500, 0.500, 0.500)

Results
V: 75.58 Å³ per cell
electronic total energy: -3.807 eV/atom
energy above the lowest structure with this stoichiometry: 0.00 eV/f.u.
space group: Pm-3m, No. 221

(8)
Here is an optimized crystal structure of BePtS from the Alexandria database. Energies are from GGA-PBE.

a = 4.018 Å, b = 4.018 Å, c = 6.309 Å
α = 90.00°, β = 90.00°, γ = 120.00°
Sites, in units of the cell vectors:
Be (0.000, 0.000, 0.000)
Be (0.000, 0.000, 0.500)
S (0.333, 0.667, 0.250)
S (0.667, 0.333, 0.750)
Pt (0.333, 0.667, 0.750)
Pt (0.667, 0.333, 0.250)

Results
V: 88.21 Å³ per cell
electronic total energy: -4.318 eV/atom
space group: P6_3/mmc, No. 194